TmAlRhAu | Alexandria | GGA-PBE | optimized geometry; Fermi-level density of states = 0.778 states/eV per atom; calculated density = 11.46 g/cm³; E_tot = -0.2001 Ha/atom; formation enthalpy at 0 K = -2.9 eV per formula unit
1.0
-0.7333 -4.5683 -0.6001
2.5030 -3.1025 2.4241
-2.0241 -2.5013 3.3784
Rh Tm Au Al
1 1 1 1
direct
0.5000 0.5000 0.5000 Rh
0.7500 0.7500 0.7500 Tm
0.0000 0.0000 0.0000 Au
0.2500 0.2500 0.2500 Al

Pm2ErCd2In2 | Alexandria | GGA-PBE | optimized geometry; Fermi-level density of states = 0.633 states/eV per atom; calculated density = 7.83 g/cm³; E_tot = -0.1218 Ha/atom; formation enthalpy at 0 K = -1.8 eV per formula unit
1.0
4.9477 0.0000 0.0000
2.4738 4.2848 0.0000
2.4738 1.4283 9.1255
Pm Er Cd In
2 1 2 2
direct
0.1273 0.1273 0.6181 Pm
0.8727 0.8727 0.3819 Pm
0.0000 0.0000 0.0000 Er
0.6080 0.6080 0.1759 Cd
0.3920 0.3920 0.8241 Cd
0.7373 0.7373 0.7880 In
0.2627 0.2627 0.2120 In

Al3Ga3Ag | Alexandria | GGA-PBE | optimized geometry; Fermi-level density of states = 0.681 states/eV per atom; calculated density = 3.62 g/cm³; E_tot = -0.0997 Ha/atom; formation enthalpy at 0 K = 4.2 eV per formula unit; polymorph energy (0 for the lowest one) = 556 meV per atom
1.0
-2.1357 -6.6990 -1.3010
6.3308 -1.4360 -2.9983
2.5477 -2.0474 6.3599
Ga Ag Al
6 2 6
direct
0.0000 0.2500 0.5000 Ga
0.0000 0.7500 0.5000 Ga
0.5000 0.0000 0.7500 Ga
0.7500 0.5000 0.0000 Ga
0.5000 0.0000 0.2500 Ga
0.2500 0.5000 0.0000 Ga
0.5000 0.5000 0.5000 Ag
0.0000 0.0000 0.0000 Ag
0.2500 0.0000 0.5000 Al
0.0000 0.5000 0.2500 Al
0.5000 0.7500 0.0000 Al
0.7500 0.0000 0.5000 Al
0.0000 0.5000 0.7500 Al
0.5000 0.2500 0.0000 Al

CdIn2Ni | Alexandria | GGA-PBE | optimized geometry; Fermi-level density of states = 0.465 states/eV per atom; calculated density = 7.73 g/cm³; E_tot = -0.1118 Ha/atom; formation enthalpy at 0 K = 0.0 eV per formula unit
1.0
6.9469 -0.0153 -0.0078
4.8367 4.9865 0.0078
-5.4611 -3.5065 2.4779
Cd In Ni
1 2 1
direct
0.2500 0.7500 0.5000 Cd
0.9286 0.9286 0.0000 In
0.5714 0.5714 0.0000 In
0.7500 0.2500 0.5000 Ni